The following is a DFT calculation (PBE) of Mg5Zn3 after structural relaxation.

The structure belongs to space group Fmmm (No. 69); the cell edges are 6.217, 6.270 and 15.782 Å and the angles 90.00°, 90.00° and 90.00°. The asymmetric unit holds Mg at (0.000, 0.000, 0.000), Mg at (0.250, 0.250, 0.134), Zn at (0.000, 0.000, 0.249) and Zn at (0.000, 0.000, 0.500).

Its magnetization is 0.0 μB/f.u. The theoretical density is 3.431 g/cm3. The value obtained for the offset from the most stable computed form is 0.022 eV per atom. The energy relative to the elements is -0.39 eV per formula unit.